Entry from Alexandria: PuPa8Rh2 after structural relaxation (PBE-GGA).

Structure (POSCAR):
```
PuPa8Rh2
1.0
6.4809 -3.4635 0.0000
6.4809 3.4635 0.0000
-0.9874 0.0000 5.9003
Pu Pa Rh
1 8 2
Cartesian
0.0000 0.0000 0.0000
4.6071 1.7960 4.1971
1.3028 0.0000 4.9176
7.3674 1.7960 1.7032
5.1534 0.0000 1.0182
6.8210 0.0000 4.8821
4.6071 -1.7960 4.1971
10.6717 0.0000 0.9827
7.3674 -1.7960 1.7032
3.0509 0.0000 2.6772
8.9235 0.0000 3.2230
```

Summary:
- Space group: No. 12
- Energy of formation from the pure elements: -0.137 eV/atom
- V: 265 Å³/cell
- Crystal system: monoclinic

Entry from Alexandria: PuPaRh after structural relaxation (PBE-GGA).

Structure (POSCAR):
```
PuPaRh
1.0
3.5234 0.0000 0.0000
0.0000 3.5234 0.0000
0.0000 0.0000 10.0857
Pu Pa Rh
2 2 2
Cartesian
0.0000 0.0000 0.0000
1.7617 1.7617 5.0429
0.0000 0.0000 3.2564
1.7617 1.7617 8.2993
0.0000 0.0000 6.8311
1.7617 1.7617 1.7882
```

Summary:
- Polymorph energy (0 for the lowest one): 0 meV per atom
- Space group: No. 107
- Energy of formation from the pure elements: -0.432 eV/atom
- V: 125 Å³/cell
- Crystal system: tetragonal

Entry from Alexandria: PuPa6Rh after structural relaxation (PBE-GGA).

Structure (POSCAR):
```
PuPa6Rh
1.0
6.6374 0.0000 0.0000
0.0000 9.8560 0.0000
-1.0393 0.0000 6.2841
Pu Pa Rh
2 12 2
Cartesian
0.0000 0.0000 0.0000
3.3187 4.9280 0.0000
0.8034 1.6816 1.6491
0.8034 8.1745 1.6491
1.2119 4.9280 1.2266
1.0675 0.0000 5.0575
1.4760 3.2464 4.6350
1.4760 6.6096 4.6350
4.1221 3.2464 1.6491
4.1221 6.6096 1.6491
4.5306 0.0000 1.2266
4.3862 4.9280 5.0575
4.7947 1.6816 4.6350
4.7947 8.1745 4.6350
-0.5196 4.9280 3.1421
2.7990 0.0000 3.1421
```

Summary:
- Space group: No. 12
- Energy of formation from the pure elements: -0.059 eV/atom
- V: 411 Å³/cell
- Crystal system: monoclinic

Entry from Alexandria: Pu5PaRh6 after structural relaxation (PBE-GGA).

Structure (POSCAR):
```
Pu5PaRh6
1.0
2.3501 -7.4276 0.0000
2.3501 7.4276 0.0000
0.0000 0.0000 7.0009
Pu Pa Rh
5 1 6
Cartesian
0.0000 0.0000 0.0000
2.3501 2.7414 3.5005
2.3501 2.6074 0.0000
2.3501 -2.6074 0.0000
2.3501 -2.7414 3.5005
0.0000 0.0000 3.5005
2.3501 5.2892 1.7984
2.3501 5.2892 5.2025
2.3501 0.0000 1.9078
2.3501 0.0000 5.0931
2.3501 -5.2892 1.7984
2.3501 -5.2892 5.2025
```

Summary:
- Polymorph energy (0 for the lowest one): 11 meV per atom
- Space group: No. 65
- Energy of formation from the pure elements: -0.455 eV/atom
- V: 244 Å³/cell
- Crystal system: orthorhombic

Entry from Alexandria: Pu4Pa2Rh3 after structural relaxation (PBE-GGA).

Structure (POSCAR):
```
Pu4Pa2Rh3
1.0
8.1887 -1.6883 0.0000
8.1887 1.6883 0.0000
-1.4811 0.0000 7.1011
Pu Pa Rh
4 2 3
Cartesian
0.4168 0.0000 1.5583
3.2896 0.0000 1.1370
11.6067 0.0000 5.9641
14.4795 0.0000 5.5429
1.7006 0.0000 4.4846
13.1957 0.0000 2.6166
6.4160 0.0000 0.6837
7.4481 0.0000 3.5506
8.4803 0.0000 6.4174
```

Summary:
- Space group: No. 12
- Energy of formation from the pure elements: -0.209 eV/atom
- V: 196 Å³/cell
- Crystal system: monoclinic

Entry from Alexandria: PuPaRh after structural relaxation (PBE-GGA).

Structure (POSCAR):
```
PuPaRh
1.0
6.3670 0.0000 0.0000
0.0000 7.4046 0.0000
-0.8873 0.0000 5.5332
Pu Pa Rh
4 4 4
Cartesian
0.6514 1.2090 0.4497
0.2078 2.4933 3.2163
5.2719 4.9113 2.3169
4.8283 6.1956 5.0835
1.9551 4.5580 3.9276
2.3987 6.5489 1.1610
3.0810 0.8557 4.3723
3.5246 2.8466 1.6056
1.2394 4.0550 0.6289
0.7958 7.0519 3.3956
4.6840 0.3527 2.1377
4.2404 3.3496 4.9043
```

Summary:
- Polymorph energy (0 for the lowest one): 110 meV per atom
- Space group: No. 14
- Energy of formation from the pure elements: -0.322 eV/atom
- V: 261 Å³/cell
- Crystal system: monoclinic